[1]
VASP calculation (GGA-PBE) on a geometry-optimized Mg2SiGeN4 structure.

a b c (Å): 6.1876 5.7517 5.1332
angles (deg): 90.00 90.00 90.00
Closest atoms and distances in Å follow each position.
Space group Pmn2_1 (No. 31)
Asymmetric unit:
Mg: 0.2503 0.1692 0.0000  4 N 2.05-2.13
Si: 0.0000 0.3429 0.5092  4 N 1.75-1.80
Ge: 0.0000 0.6501 0.0090  4 N 1.86-1.93
N: 0.0000 0.3605 0.8497  1 Si 1.75, 1 Ge 1.86
N: 0.0000 0.6225 0.3733  1 Si 1.75, 1 Ge 1.88
N: 0.2389 0.1873 0.4134  1 Si 1.80, 1 Ge 1.93

Output
Mass density ... 3.7 Mg/m³
E ... -6.647 eV per atom
Volume ... 91.3 Å³/f.u.
Formation energy (no corrections) ... -0.830 eV/atom

[2]
VASP calculation (GGA-PBE) on a geometry-optimized Mg2SnGeN4 structure.

a b c (Å): 6.5904 5.9136 5.3879
angles (deg): 90.00 90.00 90.00
Closest atoms and distances in Å follow each position.
Space group Pmn2_1 (No. 31)
Asymmetric unit:
Mg: 0.2491 0.1661 0.0000  4 N 2.07-2.12
Sn: 0.0000 0.3463 0.5033  4 N 2.07-2.11
Ge: 0.0000 0.6663 0.0058  4 N 1.88-1.90
N: 0.0000 0.3637 0.8926  1 Ge 1.89, 2 Mg 2.10, 1 Sn 2.10
N: 0.0000 0.6695 0.3545  1 Ge 1.88, 2 Mg 2.07, 1 Sn 2.07
N: 0.2336 0.8249 0.8926  1 Ge 1.90, 2 Mg 2.10-2.12, 1 Sn 2.11

Output
Mass density ... 4.7 Mg/m³
E ... -6.093 eV per atom
Volume ... 105.0 Å³/f.u.
Formation energy (no corrections) ... -0.454 eV/atom

[3]
VASP calculation (GGA-PBE) on a geometry-optimized Sr2MgGeN structure.

a b c (Å): 5.4034 5.4034 4.0733
angles (deg): 90.00 90.00 90.00
Closest atoms and distances in Å follow each position.
Space group P4/mmm (No. 123)
Asymmetric unit:
Sr: 0.0000 0.5000 0.0000  2 N 2.70
Mg: 0.0000 0.0000 0.5000  2 N 2.04
Ge: 0.5000 0.5000 0.5000  8 Sr 3.38
N: 0.0000 0.0000 0.0000  2 Mg 2.04

Output
Mass density ... 4.0 Mg/m³
E ... -4.120 eV per atom
Volume ... 118.9 Å³/f.u.
Formation energy (no corrections) ... -0.539 eV/atom

[4]
VASP calculation (GGA-PBE) on a geometry-optimized SrMg2GeN structure.

a b c (Å): 4.1117 4.1117 6.4204
angles (deg): 90.00 90.00 90.00
Closest atoms and distances in Å follow each position.
Space group P4mm (No. 99)
Asymmetric unit:
Sr: 0.0000 0.0000 0.0000  1 N 2.51
Mg: 0.0000 0.5000 0.5103  2 N 2.15
Ge: 0.5000 0.5000 0.2094  4 Mg 2.82
N: 0.0000 0.0000 0.6088  4 Mg 2.15

Output
Mass density ... 3.4 Mg/m³
E ... -4.031 eV per atom
Volume ... 108.5 Å³/f.u.
Formation energy (no corrections) ... -0.468 eV/atom

[5]
VASP calculation (GGA-PBE) on a geometry-optimized Mg2TaGeN4 structure.

a b c (Å): 6.7916 5.8370 5.3241
angles (deg): 90.00 90.00 90.00
Closest atoms and distances in Å follow each position.
Space group Pmn2_1 (No. 31)
Asymmetric unit:
Mg: 0.2473 0.1635 0.0000  4 N 2.11-2.14
Ta: 0.0000 0.6626 0.0060  4 N 1.97-2.00
Ge: 0.0000 0.3407 0.4994  4 N 1.94-1.98
N: 0.0000 0.3510 0.8632  1 Ge 1.94, 1 Ta 1.97, 2 Mg 2.13
N: 0.0000 0.6583 0.3798  1 Ge 1.96, 1 Ta 1.99, 2 Mg 2.11
N: 0.2479 0.1870 0.4019  1 Ge 1.98, 1 Ta 2.00, 2 Mg 2.11-2.14

Output
Mass density ... 5.6 Mg/m³
E ... -7.293 eV per atom
Volume ... 105.5 Å³/f.u.
Formation energy (no corrections) ... -0.673 eV/atom

[6]
VASP calculation (GGA-PBE) on a geometry-optimized MgGeTeN2 structure.

a b c (Å): 3.8928 3.8928 5.9277
angles (deg): 90.00 90.00 90.00
Closest atoms and distances in Å follow each position.
Space group P4/mmm (No. 123)
Asymmetric unit:
Mg: 0.0000 0.0000 0.0000  4 Te 2.75
Ge: 0.5000 0.5000 0.5000  4 N 1.95
Te: 0.5000 0.5000 0.0000  4 Mg 2.75, 2 Ge 2.96
N: 0.0000 0.5000 0.5000  2 Ge 1.95

Output
Mass density ... 4.7 Mg/m³
Energy above the lowest structure with this stoichiometry ... 0.0 meV per atom
E ... -4.309 eV per atom
Volume ... 89.8 Å³/f.u.
Formation energy (no corrections) ... 0.892 eV/atom

[7]
VASP calculation (GGA-PBE) on a geometry-optimized MgGeTeN2 structure.

a b c (Å): 4.2009 4.2009 5.9319
angles (deg): 90.00 90.00 90.00
Closest atoms and distances in Å follow each position.
Space group P4/mmm (No. 123)
Asymmetric unit:
Mg: 0.0000 0.0000 0.0000  4 N 2.10
Ge: 0.5000 0.5000 0.5000  4 Te 2.97
Te: 0.0000 0.0000 0.5000  2 Mg 2.97, 4 Ge 2.97
N: 0.0000 0.5000 0.0000  2 Mg 2.10

Output
Mass density ... 4.0 Mg/m³
Energy above the lowest structure with this stoichiometry ... 344.6 meV per atom
E ... -3.964 eV per atom
Volume ... 104.7 Å³/f.u.
Formation energy (no corrections) ... 1.237 eV/atom

[8]
VASP calculation (GGA-PBE) on a geometry-optimized ThMgGeN structure.

a b c (Å): 4.1963 4.1963 9.3652
angles (deg): 90.00 90.00 90.00
Closest atoms and distances in Å follow each position.
Space group P4/nmm (No. 129, origin choice 2)
Asymmetric unit:
Th: 0.2500 0.2500 0.1180  4 N 2.37
Mg: 0.2500 0.7500 0.5000  4 Ge 2.76, 4 Mg 2.97
Ge: 0.2500 0.2500 0.6918  4 Mg 2.76
N: 0.2500 0.7500 0.0000  4 Th 2.37

Output
Mass density ... 6.9 Mg/m³
E ... -6.393 eV per atom
Volume ... 82.5 Å³/f.u.
Formation energy (no corrections) ... -0.904 eV/atom